Record 1
Below is a relaxed KNaSr2Cu crystal, with properties calculated at the PBE level.

N(E_F) = 4.0 states/eV/cell
symmetry = P4/mmm (123)
mass density = 2.22 Mg/m³
formation enthalpy at 0 K = 0.099 eV/atom

a = 6.076 Å, b = 6.076 Å, c = 6.087 Å
α = 90.00°, β = 90.00°, γ = 90.00°
Fractional positions:
K (0.000, 0.000, 0.000)
Na (0.500, 0.500, 0.000)
Sr (0.000, 0.500, 0.500)
Sr (0.500, 0.000, 0.500)
Cu (0.500, 0.500, 0.500)

Record 2
Below is a relaxed KNaCuTe2 crystal, with properties calculated at the PBE level.

N(E_F) = 4.8 states/eV/cell
ΔE_f (raw) = -0.513 eV per atom
symmetry = Pmma (51)
mass density = 4.16 Mg/m³

a = 5.458 Å, b = 8.036 Å, c = 6.931 Å
α = 90.00°, β = 90.00°, γ = 90.00°
Fractional positions:
K (0.250, 0.000, 0.208)
K (0.750, 0.000, 0.792)
Na (0.250, 0.500, 0.388)
Na (0.750, 0.500, 0.612)
Cu (0.000, 0.500, 0.000)
Cu (0.500, 0.500, 0.000)
Te (0.250, 0.279, 0.781)
Te (0.250, 0.721, 0.781)
Te (0.750, 0.279, 0.219)
Te (0.750, 0.721, 0.219)

Record 3
Below is a relaxed KNaTl2Cu crystal, with properties calculated at the PBE level.

N(E_F) = 2.7 states/eV/cell
symmetry = P4/mmm (123)
mass density = 5.59 Mg/m³
formation enthalpy at 0 K = 0.058 eV/atom

a = 5.304 Å, b = 5.304 Å, c = 5.639 Å
α = 90.00°, β = 90.00°, γ = 90.00°
Fractional positions:
K (0.000, 0.000, 0.000)
Na (0.500, 0.500, 0.000)
Tl (0.000, 0.500, 0.500)
Tl (0.500, 0.000, 0.500)
Cu (0.500, 0.500, 0.500)

Record 4
Below is a relaxed KNaZn2Cu crystal, with properties calculated at the PBE level.

N(E_F) = 2.2 states/eV/cell
symmetry = P4/mmm (123)
mass density = 3.31 Mg/m³
formation enthalpy at 0 K = 0.116 eV/atom

a = 4.845 Å, b = 4.845 Å, c = 5.474 Å
α = 90.00°, β = 90.00°, γ = 90.00°
Fractional positions:
K (0.000, 0.000, 0.000)
Na (0.500, 0.500, 0.000)
Zn (0.000, 0.500, 0.500)
Zn (0.500, 0.000, 0.500)
Cu (0.500, 0.500, 0.500)

Record 5
Below is a relaxed K2NbCu2 crystal, with properties calculated at the PBE level.

N(E_F) = 1.9 states/eV/cell
symmetry = I4/mmm (139)
mass density = 4.19 Mg/m³
formation enthalpy at 0 K = 1.131 eV/atom

a = 7.679 Å, b = 7.679 Å, c = 7.679 Å
α = 149.23°, β = 149.23°, γ = 44.07°
Fractional positions:
K (0.250, 0.750, 0.500)
K (0.750, 0.250, 0.500)
Nb (0.000, 0.000, 0.000)
Cu (0.421, 0.421, 0.000)
Cu (0.579, 0.579, 0.000)

Record 6
Below is a relaxed KNb2Cu crystal, with properties calculated at the PBE level.

N(E_F) = 7.8 states/eV/cell
symmetry = I4_1/amd (141)
mass density = 4.19 Mg/m³
formation enthalpy at 0 K = 1.414 eV/atom

a = 10.332 Å, b = 10.332 Å, c = 10.332 Å
α = 152.87°, β = 152.87°, γ = 38.74°
Fractional positions:
K (0.375, 0.625, 0.750)
K (0.625, 0.375, 0.250)
Nb (0.000, 0.000, 0.000)
Nb (0.000, 0.000, 0.500)
Nb (0.000, 0.500, 0.000)
Nb (0.500, 0.000, 0.500)
Cu (0.125, 0.875, 0.250)
Cu (0.875, 0.125, 0.750)

Record 7
Below is a relaxed K3NbCu crystal, with properties calculated at the PBE level.

N(E_F) = 2.5 states/eV/cell
symmetry = Pm-3m (221)
mass density = 1.94 Mg/m³
formation enthalpy at 0 K = 1.202 eV/atom

a = 6.167 Å, b = 6.167 Å, c = 6.167 Å
α = 90.00°, β = 90.00°, γ = 90.00°
Fractional positions:
K (0.000, 0.000, 0.500)
K (0.000, 0.500, 0.000)
K (0.500, 0.000, 0.000)
Nb (0.500, 0.500, 0.500)
Cu (0.000, 0.000, 0.000)

Record 8
Below is a relaxed KNbCu3 crystal, with properties calculated at the PBE level.

N(E_F) = 4.4 states/eV/cell
symmetry = Pm-3m (221)
mass density = 4.34 Mg/m³
formation enthalpy at 0 K = 1.007 eV/atom

a = 4.979 Å, b = 4.979 Å, c = 4.979 Å
α = 90.00°, β = 90.00°, γ = 90.00°
Fractional positions:
K (0.000, 0.000, 0.000)
Nb (0.500, 0.500, 0.500)
Cu (0.000, 0.500, 0.500)
Cu (0.500, 0.000, 0.500)
Cu (0.500, 0.500, 0.000)